# Tl6InPb5

Crystalline Tl6InPb5 at its relaxed geometry (GGA-PBE, Alexandria via LeMat-Bulk).

Cell lengths 11.4127, 10.6380, 6.1579 Å; angles 90.00, 98.19, 90.00 degrees
Closest atoms and distances in Å follow each position.
Space group C2/m (No. 12)
Asymmetric unit:
Tl 0.2476 0.0000 0.2522  1 In 3.40, 5 Pb 3.46-3.54, 6 Tl 3.53-3.57
Tl 0.2489 0.1657 0.7490  5 Pb 3.42-3.53, 1 In 3.51, 6 Tl 3.53-3.57
In 0.0000 0.0000 0.5000  6 Tl 3.40-3.51, 6 Pb 3.54-3.56
Pb 0.0000 0.1682 0.0000  6 Tl 3.42-3.53, 4 Pb 3.53-3.58, 2 In 3.56
Pb 0.0000 0.3330 0.5000  6 Tl 3.44-3.54, 1 In 3.54, 5 Pb 3.54-3.55
Pb 0.0000 0.5000 0.0000  6 Tl 3.46-3.53, 6 Pb 3.53-3.55

- density of states at the Fermi level (states/eV/cell) = 8.44
- DFT formation energy (eV/f.u.) = 0.1
- crystal system = monoclinic
- electronic total energy (eV per atom) = -2.95


# Tl12In7Pb

Crystalline Tl12In7Pb at its relaxed geometry (GGA-PBE, Alexandria via LeMat-Bulk).

Cell lengths 14.7609, 14.7609, 9.7000 Å; angles 90.00, 90.00, 120.00 degrees
Closest atoms and distances in Å follow each position.
Space group R-3 (No. 148, hexagonal axes)
Asymmetric unit:
Tl 0.0309 0.7797 0.0730  2 In 3.17-3.37, 2 Tl 3.32-3.33
Tl 0.0387 0.8617 0.7525  4 In 3.24-3.58, 2 Tl 3.32-3.33, 1 Pb 3.41
In 0.0000 0.0000 0.0000  12 Tl 3.38-3.57
In 0.0739 0.8181 0.4351  4 Tl 3.17-3.37, 1 In 3.22, 1 Pb 3.42
Pb 0.0000 0.0000 0.5000  6 Tl 3.41, 6 In 3.42

- density of states at the Fermi level (states/eV/cell) = 30.50
- DFT formation energy (eV/f.u.) = 0.9
- crystal system = trigonal
- energy relative to the lowest polymorph listed for this composition (meV per atom) = 0
- electronic total energy (eV per atom) = -2.52


# Tl6In5Pb2

Crystalline Tl6In5Pb2 at its relaxed geometry (GGA-PBE, Alexandria via LeMat-Bulk).

Cell lengths 11.2039, 20.0485, 3.4899 Å; angles 90.00, 90.00, 90.00 degrees
Closest atoms and distances in Å follow each position.
Space group Pbam (No. 55)
Asymmetric unit:
Tl 0.0503 0.0786 0.0000  5 Tl 3.35-3.53, 6 In 3.45-3.54, 1 Pb 3.58
Tl 0.0690 0.3669 0.0000  6 In 3.28-3.49, 1 Pb 3.29, 4 Tl 3.40-3.49
Tl 0.1912 0.6287 0.5000  2 In 3.20-3.35, 6 Tl 3.40-3.53
In 0.0000 0.5000 0.5000  6 Tl 3.28-3.35, 4 In 3.35-3.49
In 0.0822 0.2259 0.5000  5 Tl 3.20-3.45, 4 Pb 3.33-3.54, 2 In 3.49
In 0.2124 0.9547 0.5000  3 In 3.35-3.49, 7 Tl 3.49-3.65, 2 Pb 3.73
Pb 0.1693 0.7920 0.0000  2 Tl 3.29-3.58, 4 In 3.33-3.54, 2 Pb 3.49

- density of states at the Fermi level (states/eV/cell) = 12.05
- DFT formation energy (eV/f.u.) = 0.7
- crystal system = orthorhombic
- electronic total energy (eV per atom) = -2.67


# TlIn2Pb2

Crystalline TlIn2Pb2 at its relaxed geometry (GGA-PBE, Alexandria via LeMat-Bulk).

Cell lengths 9.3611, 9.3611, 3.5373 Å; angles 90.00, 90.00, 90.00 degrees
Closest atoms and distances in Å follow each position.
Space group P4/mbm (No. 127)
Asymmetric unit:
Tl 0.0000 0.0000 0.0000  2 Tl 3.54, 4 In 3.67, 8 Pb 3.92
In 0.1310 0.3690 0.0000  6 Pb 3.23-3.30, 3 In 3.47-3.54
Pb 0.1652 0.6652 0.5000  6 In 3.23-3.30, 2 Pb 3.54

- density of states at the Fermi level (states/eV/cell) = 5.46
- DFT formation energy (eV/f.u.) = 0.2
- crystal system = tetragonal
- energy relative to the lowest polymorph listed for this composition (meV per atom) = 33
- electronic total energy (eV per atom) = -3.00


# Tl5In12Pb2

Crystalline Tl5In12Pb2 at its relaxed geometry (GGA-PBE, Alexandria via LeMat-Bulk).

Cell lengths 17.1462, 11.2573, 5.8807 Å; angles 90.00, 102.58, 90.00 degrees
Closest atoms and distances in Å follow each position.
Space group C2/m (No. 12)
Asymmetric unit:
Tl 0.0000 0.0000 0.0000  6 In 3.22-3.32
Tl 0.1679 0.5000 0.3751  9 In 3.31-3.67, 2 Tl 3.43-3.55
Tl 0.2200 0.0000 0.0661  8 In 3.34-3.52, 3 Tl 3.43-3.71
In 0.0550 0.5000 0.7948  4 In 3.31-3.57, 2 Pb 3.36, 2 Tl 3.45-3.54
In 0.1024 0.2520 0.0954  4 In 3.17-3.45, 1 Pb 3.25, 3 Tl 3.31-3.51
In 0.1132 0.0000 0.5147  2 In 3.22, 3 Tl 3.22-3.52, 2 Pb 3.39
In 0.2025 0.2437 0.7021  5 In 3.16-3.53, 3 Tl 3.34-3.45, 1 Pb 3.42
Pb 0.0000 0.2476 0.5000  10 In 3.25-3.56

- density of states at the Fermi level (states/eV/cell) = 13.38
- DFT formation energy (eV/f.u.) = 0.6
- crystal system = monoclinic
- electronic total energy (eV per atom) = -2.71


# Tl2InPb8

Crystalline Tl2InPb8 at its relaxed geometry (GGA-PBE, Alexandria via LeMat-Bulk).

Cell lengths 18.3092, 4.8673, 7.9632 Å; angles 90.00, 105.71, 90.00 degrees
Closest atoms and distances in Å follow each position.
Space group C2/m (No. 12)
Asymmetric unit:
Tl 0.2277 0.0000 0.1346  2 Tl 3.48, 10 Pb 3.51-3.66
In 0.0000 0.5000 0.5000  12 Pb 3.46-3.60
Pb 0.0436 0.0000 0.2314  9 Pb 3.46-3.60, 2 In 3.47, 1 Tl 3.66
Pb 0.0884 0.5000 0.9562  8 Pb 3.47-3.56, 3 Tl 3.53-3.63, 1 In 3.55
Pb 0.1334 0.0000 0.6740  2 In 3.46, 7 Pb 3.46-3.61, 3 Tl 3.55-3.61
Pb 0.1822 0.5000 0.4080  8 Pb 3.50-3.61, 3 Tl 3.51-3.57, 1 In 3.60

- density of states at the Fermi level (states/eV/cell) = 11.38
- DFT formation energy (eV/f.u.) = 0.0
- crystal system = monoclinic
- energy relative to the lowest polymorph listed for this composition (meV per atom) = 0
- electronic total energy (eV per atom) = -3.38


# Tl5In7Pb

Crystalline Tl5In7Pb at its relaxed geometry (GGA-PBE, Alexandria via LeMat-Bulk).

Cell lengths 13.1860, 11.6508, 5.4558 Å; angles 90.00, 113.64, 90.00 degrees
Closest atoms and distances in Å follow each position.
Space group Cm (No. 8)
Asymmetric unit:
Tl 0.0000 0.0000 0.0000  5 In 3.43-3.83, 4 Tl 3.49, 1 Pb 3.72
Tl 0.0005 0.3611 0.9930  6 In 3.20-3.52, 3 Tl 3.24-3.44
Tl 0.4924 0.3134 0.4932  4 Tl 3.37-3.49, 5 In 3.41-3.77, 1 Pb 3.50
In 0.1247 0.5000 0.6161  4 In 2.95-3.21
In 0.2112 0.1955 0.2419  3 In 3.06-3.14, 2 Tl 3.20-3.43
In 0.2746 0.5000 0.2753  4 In 3.21-3.46, 2 Tl 3.41
In 0.2878 0.3027 0.8161  3 In 3.04-3.14, 1 Tl 3.20
In 0.3804 0.0000 0.3786  3 In 2.95-3.06, 1 Pb 3.30
Pb 0.2194 0.0000 0.7344  8 In 3.30-3.62, 2 Tl 3.50

- density of states at the Fermi level (states/eV/cell) = 12.03
- DFT formation energy (eV/f.u.) = 0.5
- crystal system = monoclinic
- electronic total energy (eV per atom) = -2.63


# Tl16InPb12

Crystalline Tl16InPb12 at its relaxed geometry (GGA-PBE, Alexandria via LeMat-Bulk).

Cell lengths 12.2656, 17.5702, 10.5210 Å; angles 90.00, 125.24, 90.00 degrees
Closest atoms and distances in Å follow each position.
Space group Cm (No. 8)
Asymmetric unit:
Tl 0.0000 0.0000 0.0000  4 Tl 3.72-3.73, 12 Pb 3.79-3.91
Tl 0.0008 0.0000 0.6466  1 In 3.43, 3 Tl 3.48-3.72, 6 Pb 3.66-3.72
Tl 0.0169 0.2968 0.3127  5 Pb 3.36-3.66, 7 Tl 3.47-3.76
Tl 0.0463 0.3593 0.0003  5 Pb 3.34-3.63, 6 Tl 3.45-3.70, 1 In 3.64
Tl 0.0936 0.5000 0.2802  5 Pb 3.33-3.59, 3 Tl 3.47-3.63
Tl 0.2052 0.2047 0.6905  5 Pb 3.33-3.62, 4 Tl 3.47-3.70
Tl 0.3256 0.3271 0.0033  4 Tl 3.45-3.73, 6 Pb 3.65-3.72
Tl 0.3442 0.3432 0.4061  5 Pb 3.35-3.60, 6 Tl 3.48-3.74
Tl 0.3506 0.0000 0.3523  4 Tl 3.47-3.72, 6 Pb 3.67-3.70
Tl 0.4383 0.1565 0.5967  5 Pb 3.36-3.57, 6 Tl 3.48-3.73, 1 In 3.73
In 0.3124 0.0000 0.7198  5 Pb 3.27-3.54, 3 Tl 3.43-3.64
Pb 0.0995 0.0943 0.3827  3 Pb 3.21-3.33, 3 Tl 3.33-3.57, 1 In 3.38
Pb 0.1173 0.5000 0.8141  3 Pb 3.21-3.33, 1 In 3.27, 4 Tl 3.44-3.56
Pb 0.1891 0.1870 0.1937  3 Pb 3.21-3.33, 5 Tl 3.35-3.58
Pb 0.2205 0.4056 0.6270  3 Pb 3.21-3.33, 3 Tl 3.36-3.46
Pb 0.2820 0.0909 0.9980  3 Pb 3.20-3.33, 3 Tl 3.34-3.48, 1 In 3.54
Pb 0.3116 0.5000 0.1878  3 Pb 3.21-3.33, 3 Tl 3.33-3.46
Pb 0.4967 0.3132 0.8097  3 Pb 3.21-3.32, 5 Tl 3.36-3.58

- density of states at the Fermi level (states/eV/cell) = 23.97
- DFT formation energy (eV/f.u.) = 0.1
- crystal system = monoclinic
- electronic total energy (eV per atom) = -2.93


# Tl2In4Pb5

Crystalline Tl2In4Pb5 at its relaxed geometry (GGA-PBE, Alexandria via LeMat-Bulk).

Cell lengths 3.4124, 8.9764, 22.5857 Å; angles 90.00, 90.00, 90.00 degrees
Closest atoms and distances in Å follow each position.
Space group Immm (No. 71)
Asymmetric unit:
Tl 0.0000 0.0000 0.2327  1 In 3.11, 2 Pb 3.39, 2 Tl 3.41
In 0.0000 0.0000 0.0950  1 Tl 3.11, 6 In 3.22-3.41, 4 Pb 3.41
In 0.0000 0.3117 0.5000  7 In 3.22-3.41, 4 Pb 3.28-3.30
Pb 0.0000 0.1893 0.3625  3 In 3.30-3.41, 1 Tl 3.39, 3 Pb 3.40-3.41
Pb 0.0000 0.5000 0.0000  4 In 3.28, 2 Pb 3.41

- density of states at the Fermi level (states/eV/cell) = 12.14
- DFT formation energy (eV/f.u.) = 1.0
- crystal system = orthorhombic
- energy relative to the lowest polymorph listed for this composition (meV per atom) = 26
- electronic total energy (eV per atom) = -3.02


# Tl3In2Pb

Crystalline Tl3In2Pb at its relaxed geometry (GGA-PBE, Alexandria via LeMat-Bulk).

Cell lengths 8.0612, 3.9648, 11.1943 Å; angles 90.00, 90.08, 90.00 degrees
Closest atoms and distances in Å follow each position.
Space group P2_1/m (No. 11)
Asymmetric unit:
Tl 0.1238 0.2500 0.2405  4 In 3.35-3.41, 5 Tl 3.41-3.54
Tl 0.1447 0.2500 0.9250  4 In 3.41-3.82, 2 Pb 3.41, 5 Tl 3.47-3.54
Tl 0.3617 0.7500 0.4192  4 Tl 3.41-3.49, 4 In 3.41-3.78, 3 Pb 3.43-3.52
In 0.1067 0.2500 0.5849  2 In 3.24, 2 Pb 3.32, 4 Tl 3.35-3.41
In 0.3996 0.7500 0.0921  2 In 3.29, 2 Pb 3.37, 6 Tl 3.41-3.68
Pb 0.3640 0.7500 0.7337  4 In 3.32-3.37, 5 Tl 3.41-3.52

- density of states at the Fermi level (states/eV/cell) = 4.30
- DFT formation energy (eV/f.u.) = 0.1
- crystal system = monoclinic
- energy relative to the lowest polymorph listed for this composition (meV per atom) = 16
- electronic total energy (eV per atom) = -2.69


# TlIn2Pb

Crystalline TlIn2Pb at its relaxed geometry (GGA-PBE, Alexandria via LeMat-Bulk).

Cell lengths 3.3094, 5.7643, 12.6930 Å; angles 90.00, 90.00, 90.00 degrees
Closest atoms and distances in Å follow each position.
Space group Immm (No. 71)
Asymmetric unit:
Tl 0.0000 0.0000 0.0000  2 In 3.20, 2 Tl 3.31, 4 Pb 3.32
In 0.0000 0.0000 0.2522  1 Pb 3.15, 1 Tl 3.20, 6 In 3.31-3.32
Pb 0.0000 0.0000 0.5000  2 In 3.15, 2 Pb 3.31, 4 Tl 3.32

- density of states at the Fermi level (states/eV/cell) = 4.98
- DFT formation energy (eV/f.u.) = 0.4
- crystal system = orthorhombic
- energy relative to the lowest polymorph listed for this composition (meV per atom) = 100
- electronic total energy (eV per atom) = -2.79


# Tl3In8Pb2

Crystalline Tl3In8Pb2 at its relaxed geometry (GGA-PBE, Alexandria via LeMat-Bulk).

Cell lengths 7.8714, 21.1859, 4.7989 Å; angles 90.00, 90.00, 90.00 degrees
Closest atoms and distances in Å follow each position.
Space group Cmmm (No. 65)
Asymmetric unit:
Tl 0.0000 0.0000 0.0000  8 In 3.30-3.68, 4 Tl 3.36
Tl 0.2019 0.5000 0.5000  3 Tl 3.18-3.36, 4 In 3.47
In 0.0000 0.1316 0.5000  4 In 3.24, 2 Pb 3.28
In 0.0000 0.3409 0.5000  4 In 3.11, 2 Pb 3.25
In 0.2258 0.3821 0.0000  4 In 3.11-3.24, 3 Tl 3.30-3.47, 1 Pb 3.33
Pb 0.0000 0.2374 0.0000  8 In 3.25-3.54

- density of states at the Fermi level (states/eV/cell) = 13.45
- DFT formation energy (eV/f.u.) = 1.2
- crystal system = orthorhombic
- electronic total energy (eV per atom) = -2.71


Question: Which of these has the lowest DFT formation energy?
Answer: Tl2InPb8


Question: density of states at the Fermi level of number 4 (TlIn2Pb2)?
Answer: 5.46 states/eV/cell


Question: Look up the electronic total energy of the sixth one.
Answer: -3.38 eV per atom


Question: Look up the DFT formation energy of the eighth one.
Answer: 0.1 eV/f.u.